Here is a relaxed structure of LiLa2ZnNi from the Alexandria database. Energies are from PBE-GGA.

Lattice parameters (Å, degrees): 5.3957 5.3957 4.7145 90.00 90.00 90.00
Fractional coordinates of all 5 atoms:
Ni 0.0000 0.0000 0.0000
Zn 0.0000 0.0000 0.5000
Li 0.5000 0.5000 0.5000
La 0.0000 0.5000 0.0000
La 0.5000 0.0000 0.0000

Output
Polymorph energy (0 for the lowest one): 0.0000 eV per atom
Formation energy from the elements: -103 meV per atom



Here is a relaxed structure of LiLaZn2Ni from the Alexandria database. Energies are from PBE-GGA.

Lattice parameters (Å, degrees): 4.6754 4.6754 4.5306 90.00 90.00 90.00
Fractional coordinates of all 5 atoms:
Ni 0.0000 0.0000 0.0000
Zn 0.0000 0.5000 0.0000
Zn 0.5000 0.0000 0.0000
Li 0.0000 0.0000 0.5000
La 0.5000 0.5000 0.5000

Output
Formation energy from the elements: -134 meV per atom



Here is a relaxed structure of LiLaZnNi from the Alexandria database. Energies are from PBE-GGA.

Lattice parameters (Å, degrees): 4.7131 4.7131 4.7131 60.00 60.00 60.00
Fractional coordinates of all 4 atoms:
Ni 0.2500 0.2500 0.2500
Zn 0.5000 0.5000 0.5000
Li 0.7500 0.7500 0.7500
La 0.0000 0.0000 0.0000

Output
Formation energy from the elements: -135 meV per atom



| no. | Fermi-level density of states (states/eV per cell) | E (eV per formula unit) |
| --- | --- | --- |
| 1 | 5.0 | -19.340 |
| 2 | 5.2 | -15.838 |
| 3 | 5.1 | -14.437 |